# PBE La2PdO2, relaxed
data_La2PdO2
_symmetry_space_group_name_H-M 'I 4/m m m'
_symmetry_Int_Tables_number 139
_symmetry_space_group_name_Hall '-I 4 2'
_cell_length_a 4.014
_cell_length_b 4.014
_cell_length_c 12.993
_cell_angle_alpha 90.00
_cell_angle_beta 90.00
_cell_angle_gamma 90.00
loop_
_atom_site_label
_atom_site_type_symbol
_atom_site_fract_x
_atom_site_fract_y
_atom_site_fract_z
La1 La 0.000 0.000 0.154
Pd1 Pd 0.000 0.000 0.500
O1 O 0.000 0.500 0.250
# **Spin magnetization**: 0.00 μB per formula unit
# **Density of states at the Fermi level**: 0.0 states/eV/f.u.
# **Raw total energy**: -74.94 eV/cell